1.
# Tl2CdCuSb2

A relaxed structure of Tl2CdCuSb2 (GGA-PBE, Alexandria).

M_tot: 0.00 Bohr magnetons per cell
DFT total energy: -2.991 eV/atom
Energy relative to the elements, uncorrected: 0.0 eV per formula unit

Geometry as CIF:
```
data_Tl2CdCuSb2
_symmetry_space_group_name_H-M 'I b a m'
_symmetry_Int_Tables_number 72
_symmetry_space_group_name_Hall '-I 2 2c'
_cell_length_a 6.1543
_cell_length_b 17.2717
_cell_length_c 6.2169
_cell_angle_alpha 90.00
_cell_angle_beta 90.00
_cell_angle_gamma 90.00
loop_
_atom_site_label
_atom_site_type_symbol
_atom_site_fract_x
_atom_site_fract_y
_atom_site_fract_z
Tl1 Tl 0.2035 0.1842 0.0000
Cd1 Cd 0.0000 0.0000 0.2500
Cu1 Cu 0.0000 0.5000 0.2500
Sb1 Sb 0.1992 0.3954 0.0000
```

=====

2.
# CdCuSbW2

A relaxed structure of CdCuSbW2 (GGA-PBE, Alexandria).

M_tot: 0.88 Bohr magnetons per cell
DFT total energy: -4.662 eV/atom
Energy relative to the elements, uncorrected: 11.7 eV per formula unit

Geometry as CIF:
```
data_CdCuSbW2
_symmetry_space_group_name_H-M 'P 4/m m m'
_symmetry_Int_Tables_number 123
_symmetry_space_group_name_Hall '-P 4 2'
_cell_length_a 4.9613
_cell_length_b 4.9613
_cell_length_c 5.2185
_cell_angle_alpha 90.00
_cell_angle_beta 90.00
_cell_angle_gamma 90.00
loop_
_atom_site_label
_atom_site_type_symbol
_atom_site_fract_x
_atom_site_fract_y
_atom_site_fract_z
Cd1 Cd 0.0000 0.0000 0.0000
Cu1 Cu 0.5000 0.5000 0.0000
Sb1 Sb 0.0000 0.0000 0.5000
W1 W 0.0000 0.5000 0.5000
```